Arrangement i

Nd4Sm5: optimized geometry, PBE.

Summary:
Size of the total moment = 0.0 Bohr magnetons per cell
N(E_F) = 19.2 states/eV per cell

Lattice parameters (Å, degrees): 3.7308 9.2934 9.2934 87.69 78.42 78.42
Fractional positions:
Nd 0.0000 0.3313 0.6687
Nd 0.3313 0.6687 0.6687
Nd 0.0000 0.6687 0.3313
Nd 0.6687 0.3313 0.3313
Sm 0.3337 0.0000 0.3326
Sm 0.0000 0.0000 0.0000
Sm 0.6663 0.0000 0.6674
Sm 0.6663 0.6674 0.0000
Sm 0.3337 0.3326 0.0000



Arrangement ii

Nd4Sm5: optimized geometry, PBE.

Summary:
Size of the total moment = 0.0 Bohr magnetons per cell
N(E_F) = 14.0 states/eV per cell

Lattice parameters (Å, degrees): 5.1670 8.1666 8.1666 84.26 71.56 71.56
Fractional positions:
Sm 0.3336 0.3328 0.0000
Sm 0.6664 0.0000 0.6672
Sm 0.0000 0.0000 0.0000
Sm 0.3336 0.0000 0.3328
Sm 0.6664 0.6672 0.0000
Nd 0.6677 0.3323 0.3323
Nd 0.0000 0.3323 0.6677
Nd 0.3323 0.6677 0.6677
Nd 0.0000 0.6677 0.3323



Most stable structure - arrangement ii; separation to the second - 96 meV/atom.



Arrangement i

Nd3Sm: optimized geometry, PBE.

Summary:
Size of the total moment = 0.0 Bohr magnetons per cell
N(E_F) = 6.6 states/eV per cell

Lattice parameters (Å, degrees): 5.1834 5.1834 5.1834 90.00 90.00 90.00
Fractional positions:
Nd 0.0000 0.5000 0.5000
Nd 0.5000 0.0000 0.5000
Nd 0.5000 0.5000 0.0000
Sm 0.0000 0.0000 0.0000



Arrangement ii

Nd3Sm: optimized geometry, PBE.

Summary:
Size of the total moment = 0.0 Bohr magnetons per cell
N(E_F) = 7.1 states/eV per cell

Lattice parameters (Å, degrees): 3.6922 5.9532 6.4026 90.00 90.00 90.00
Fractional positions:
Nd 0.5000 0.0000 0.5005
Nd 0.5000 0.5000 0.8326
Nd 0.0000 0.5000 0.3327
Sm 0.0000 0.0000 0.0009



Most stable structure - arrangement i; separation to the second - 20 meV/atom.



Arrangement i

Nd3Sm: optimized geometry, PBE.

Summary:
Size of the total moment = 0.0 Bohr magnetons per cell
N(E_F) = 14.0 states/eV per cell

Lattice parameters (Å, degrees): 7.4258 7.4258 5.9152 90.00 90.00 120.00
Fractional positions:
Nd 0.6664 0.8332 0.2500
Nd 0.3336 0.1668 0.7500
Nd 0.1668 0.3336 0.2500
Nd 0.1668 0.8332 0.2500
Nd 0.8332 0.1668 0.7500
Nd 0.8332 0.6664 0.7500
Sm 0.6667 0.3333 0.2500
Sm 0.3333 0.6667 0.7500



Arrangement ii

Nd3Sm: optimized geometry, PBE.

Summary:
Size of the total moment = 0.0 Bohr magnetons per cell
N(E_F) = 6.5 states/eV per cell

Lattice parameters (Å, degrees): 5.1873 5.1873 6.3658 114.04 114.04 90.00
Fractional positions:
Nd 0.7500 0.2500 0.5000
Nd 0.2500 0.7500 0.5000
Nd 0.5000 0.5000 0.0000
Sm 0.0000 0.0000 0.0000



Most stable structure - arrangement ii; separation to the second - 15 meV/atom.



Arrangement i

Nd5Sm7: optimized geometry, PBE.

Summary:
Size of the total moment = 0.0 Bohr magnetons per cell
N(E_F) = 15.9 states/eV per cell

Lattice parameters (Å, degrees): 3.6661 9.7028 12.3781 73.76 81.48 79.11
Fractional positions:
Nd 0.0000 0.0000 0.0000
Nd 0.1661 0.1667 0.5012
Nd 0.6943 0.3619 0.2494
Nd 0.8339 0.8333 0.4988
Nd 0.3057 0.6381 0.7506
Sm 0.3612 0.0284 0.2492
Sm 0.0272 0.6955 0.2501
Sm 0.5000 0.5000 0.5000
Sm 0.6388 0.9716 0.7508
Sm 0.3336 0.3340 0.9989
Sm 0.6664 0.6660 0.0011
Sm 0.9728 0.3045 0.7499



Arrangement ii

Nd5Sm7: optimized geometry, PBE.

Summary:
Size of the total moment = 0.0 Bohr magnetons per cell
N(E_F) = 19.9 states/eV per cell

Lattice parameters (Å, degrees): 5.9416 5.6904 14.9414 102.45 90.00 121.47
Fractional positions:
Sm 0.6776 0.3552 0.0839
Sm 0.5000 0.0000 0.5000
Sm 0.7526 0.5053 0.3282
Sm 0.2474 0.4947 0.6718
Sm 0.3224 0.6448 0.9161
Sm 0.9647 0.9294 0.7859
Sm 0.0353 0.0706 0.2141
Nd 0.6270 0.2541 0.7993
Nd 0.3730 0.7459 0.2007
Nd 0.0000 0.0000 0.0000
Nd 0.8677 0.7353 0.5630
Nd 0.1323 0.2647 0.4370



Most stable structure - arrangement i; separation to the second - 161 meV/atom.